# 1
# Sm2UO6 PBE relaxed
# Total DFT energy (no corrections) = -81.12 eV/f.u.
# N(E_F) = 0.000 states/eV/atom
# Energy above the lowest structure with this stoichiometry = 0 meV/atom
# Total magnetization = 0.0 μB per cell
data_Sm2UO6
_chemical_formula_sum 'Sm4 U2 O12'
_cell_length_a 3.899
_cell_length_b 5.463
_cell_length_c 11.304
_cell_angle_alpha 90.00
_cell_angle_beta 90.00
_cell_angle_gamma 90.00
_symmetry_space_group_name_H-M 'I m m m'
_symmetry_Int_Tables_number 71
_symmetry_space_group_name_Hall '-I 2 2'
loop_
_atom_site_label
_atom_site_type_symbol
_atom_site_fract_x
_atom_site_fract_y
_atom_site_fract_z
_atom_site_occupancy
Sm1 Sm 0.000 0.000 0.165 1
U1 U 0.000 0.000 0.500 1
O1 O 0.000 0.238 0.347 1
O2 O 0.000 0.273 0.000 1


# 2
# Sm4UO10 PBE relaxed
# Total DFT energy (no corrections) = -126.26 eV/f.u.
# N(E_F) = 0.804 states/eV/atom
# Total magnetization = 3.9 μB per cell
data_Sm4UO10
_chemical_formula_sum 'Sm8 U2 O20'
_cell_length_a 8.720
_cell_length_b 8.720
_cell_length_c 5.457
_cell_angle_alpha 90.00
_cell_angle_beta 90.00
_cell_angle_gamma 90.00
_symmetry_space_group_name_H-M 'I 4/m'
_symmetry_Int_Tables_number 87
_symmetry_space_group_name_Hall '-I 4'
loop_
_atom_site_label
_atom_site_type_symbol
_atom_site_fract_x
_atom_site_fract_y
_atom_site_fract_z
_atom_site_occupancy
Sm1 Sm 0.099 0.699 0.000 1
U1 U 0.000 0.000 0.500 1
O1 O 0.000 0.500 0.250 1
O2 O 0.096 0.186 0.266 1


# 3
# Sm4U2O11 PBE relaxed
# Total DFT energy (no corrections) = -153.53 eV/f.u.
# N(E_F) = 0.375 states/eV/atom
# Total magnetization = 4.0 μB per cell
data_Sm4U2O11
_chemical_formula_sum 'Sm8 U4 O22'
_cell_length_a 12.528
_cell_length_b 5.497
_cell_length_c 7.573
_cell_angle_alpha 90.00
_cell_angle_beta 107.75
_cell_angle_gamma 90.00
_symmetry_space_group_name_H-M 'C 1 2 1'
_symmetry_Int_Tables_number 5
loop_
_symmetry_equiv_pos_as_xyz
'x,y,z'
'-x,y,-z'
'x+1/2,y+1/2,z'
'-x+1/2,y+1/2,-z'
loop_
_atom_site_label
_atom_site_type_symbol
_atom_site_fract_x
_atom_site_fract_y
_atom_site_fract_z
_atom_site_occupancy
Sm1 Sm 0.003 0.000 0.240 1
Sm2 Sm 0.179 0.551 0.585 1
U1 U 0.157 0.505 0.069 1
O1 O 0.000 0.269 0.000 1
O2 O 0.000 0.737 0.000 1
O3 O 0.000 0.773 0.500 1
O4 O 0.137 0.315 0.814 1
O5 O 0.156 0.268 0.341 1
O6 O 0.173 0.751 0.298 1
O7 O 0.185 0.796 0.865 1


Q: Number 1 is which compound?
A: Sm2UO6


Q: The highest total magnetization belongs to which entry?
A: Sm4U2O11


Q: Among the records above, which one has the highest total magnetization?
A: Sm4U2O11


Q: N(E_F) of number 3 (Sm4U2O11)?
A: 0.375 states/eV/atom